! LuMnAlTc, relaxed, DFT PBE; values from VASP
&SYSTEM
  ibrav = 0, nat = 4, ntyp = 4
/
ATOMIC_SPECIES
Lu 174.97 Lu.upf
Tc 98.00 Tc.upf
Mn 54.94 Mn.upf
Al 26.98 Al.upf
CELL_PARAMETERS angstrom
-0.719 2.038 -3.986
-4.175 1.361 -1.130
-0.982 4.425 -0.140
ATOMIC_POSITIONS crystal
Lu 0.000 0.000 0.000
Tc 0.750 0.750 0.750
Mn 0.250 0.250 0.250
Al 0.500 0.500 0.500
! * final energy: -7.037 eV/atom
! * Fermi-level density of states: 1.1531 states/eV/atom
! * M_tot: 3.2 μB per formula unit
! * energy of formation: -0.088 eV/atom


! LuThMnAl, relaxed, DFT PBE; values from VASP
&SYSTEM
  ibrav = 0, nat = 4, ntyp = 4
/
ATOMIC_SPECIES
Mn 54.94 Mn.upf
Lu 174.97 Lu.upf
Al 26.98 Al.upf
Th 232.04 Th.upf
CELL_PARAMETERS angstrom
5.076 0.000 0.000
2.538 4.396 0.000
2.538 1.465 4.144
ATOMIC_POSITIONS crystal
Mn 0.000 0.000 0.000
Lu 0.750 0.750 0.750
Al 0.500 0.500 0.500
Th 0.250 0.250 0.250
! * final energy: -6.236 eV/atom
! * Fermi-level density of states: 0.8531 states/eV/atom
! * M_tot: 2.8 μB per formula unit
! * energy of formation: -0.023 eV/atom


! YLuMnAl, relaxed, DFT PBE; values from VASP
&SYSTEM
  ibrav = 0, nat = 4, ntyp = 4
/
ATOMIC_SPECIES
Y 88.91 Y.upf
Lu 174.97 Lu.upf
Al 26.98 Al.upf
Mn 54.94 Mn.upf
CELL_PARAMETERS angstrom
-4.133 0.707 2.783
-3.657 -3.458 -0.002
-0.794 -2.825 4.089
ATOMIC_POSITIONS crystal
Y 0.250 0.250 0.250
Lu 0.750 0.750 0.750
Al 0.500 0.500 0.500
Mn 0.000 0.000 0.000
! * final energy: -6.063 eV/atom
! * Fermi-level density of states: 1.1877 states/eV/atom
! * M_tot: 3.4 μB per formula unit
! * energy of formation: -0.089 eV/atom


! LuZrMnAl, relaxed, DFT PBE; values from VASP
&SYSTEM
  ibrav = 0, nat = 4, ntyp = 4
/
ATOMIC_SPECIES
Mn 54.94 Mn.upf
Lu 174.97 Lu.upf
Al 26.98 Al.upf
Zr 91.22 Zr.upf
CELL_PARAMETERS angstrom
-1.650 3.917 -2.080
-0.648 0.097 -4.686
-4.383 0.066 -1.782
ATOMIC_POSITIONS crystal
Mn 0.000 0.000 0.000
Lu 0.750 0.750 0.750
Al 0.500 0.500 0.500
Zr 0.250 0.250 0.250
! * final energy: -6.581 eV/atom
! * Fermi-level density of states: 0.7702 states/eV/atom
! * M_tot: 0.0 μB per formula unit
! * energy of formation: -0.086 eV/atom


! LuAl4Mo, relaxed, DFT PBE; values from VASP
&SYSTEM
  ibrav = 0, nat = 6, ntyp = 3
/
ATOMIC_SPECIES
Mo 95.94 Mo.upf
Lu 174.97 Lu.upf
Al 26.98 Al.upf
CELL_PARAMETERS angstrom
-3.938 0.141 3.447
-4.664 -2.011 -1.270
-1.651 -4.419 2.270
ATOMIC_POSITIONS crystal
Mo 0.250 0.250 0.250
Lu 0.000 0.000 0.000
Al 0.625 0.625 0.125
Al 0.625 0.125 0.625
Al 0.625 0.625 0.625
Al 0.125 0.625 0.625
! * final energy: -5.308 eV/atom
! * Fermi-level density of states: 0.4652 states/eV/atom
! * M_tot: 0.0 μB per formula unit
! * energy of formation: -0.255 eV/atom


! LuAl2Mo, relaxed, DFT PBE; values from VASP
&SYSTEM
  ibrav = 0, nat = 4, ntyp = 3
/
ATOMIC_SPECIES
Mo 95.94 Mo.upf
Lu 174.97 Lu.upf
Al 26.98 Al.upf
CELL_PARAMETERS angstrom
-1.276 2.653 0.631
-2.639 0.735 -1.247
-5.902 -2.839 7.187
ATOMIC_POSITIONS crystal
Mo 0.000 0.000 0.000
Lu 0.500 0.500 0.500
Al 0.741 0.741 0.778
Al 0.259 0.259 0.222
! * final energy: -5.660 eV/atom
! * Fermi-level density of states: 0.5377 states/eV/atom
! * M_tot: 0.0 μB per formula unit
! * energy of formation: 0.049 eV/atom


! Lu2AlN, relaxed, DFT PBE; values from VASP
&SYSTEM
  ibrav = 0, nat = 4, ntyp = 3
/
ATOMIC_SPECIES
Lu 174.97 Lu.upf
Al 26.98 Al.upf
N 14.01 N.upf
CELL_PARAMETERS angstrom
-0.861 3.217 -0.652
-3.070 1.147 0.881
1.365 3.516 6.719
ATOMIC_POSITIONS crystal
Lu 0.774 0.774 0.677
Lu 0.226 0.226 0.323
Al 0.000 0.000 0.000
N 0.500 0.500 0.500
! * final energy: -6.292 eV/atom
! * Fermi-level density of states: 0.4183 states/eV/atom
! * formation energy (no corrections): -1.014 eV/atom
! * M_tot: 0.0 μB per formula unit


! Lu3AlN, relaxed, DFT PBE; values from VASP
&SYSTEM
  ibrav = 0, nat = 5, ntyp = 3
/
ATOMIC_SPECIES
Lu 174.97 Lu.upf
Al 26.98 Al.upf
N 14.01 N.upf
CELL_PARAMETERS angstrom
-2.480 1.719 3.521
1.711 -3.273 2.804
3.525 2.799 1.116
ATOMIC_POSITIONS crystal
Lu 0.500 0.500 0.000
Lu 0.500 0.000 0.500
Lu 0.000 0.500 0.500
Al 0.000 0.000 0.000
N 0.500 0.500 0.500
! * final energy: -6.090 eV/atom
! * Fermi-level density of states: 0.3677 states/eV/atom
! * formation energy (no corrections): -0.963 eV/atom
! * M_tot: 0.0 μB per formula unit


! NaNdLuAl, relaxed, DFT PBE; values from VASP
&SYSTEM
  ibrav = 0, nat = 4, ntyp = 4
/
ATOMIC_SPECIES
Na 22.99 Na.upf
Lu 174.97 Lu.upf
Nd 144.24 Nd.upf
Al 26.98 Al.upf
CELL_PARAMETERS angstrom
5.317 0.000 0.000
2.658 4.604 0.000
2.658 1.535 4.341
ATOMIC_POSITIONS crystal
Na 0.000 0.000 0.000
Lu 0.250 0.250 0.250
Nd 0.750 0.750 0.750
Al 0.500 0.500 0.500
! * final energy: -3.615 eV/atom
! * Fermi-level density of states: 0.9444 states/eV/atom
! * M_tot: 0.0 μB per formula unit
! * energy of formation: -0.027 eV/atom


! NaPrLuAl, relaxed, DFT PBE; values from VASP
&SYSTEM
  ibrav = 0, nat = 4, ntyp = 4
/
ATOMIC_SPECIES
Pr 140.91 Pr.upf
Na 22.99 Na.upf
Lu 174.97 Lu.upf
Al 26.98 Al.upf
CELL_PARAMETERS angstrom
-5.173 0.933 0.916
-3.587 -0.839 -3.860
-3.421 -4.077 0.377
ATOMIC_POSITIONS crystal
Pr 0.250 0.250 0.250
Na 0.000 0.000 0.000
Lu 0.750 0.750 0.750
Al 0.500 0.500 0.500
! * final energy: -3.618 eV/atom
! * Fermi-level density of states: 0.9434 states/eV/atom
! * M_tot: 0.0 μB per formula unit
! * energy of formation: -0.028 eV/atom


! NaTbLuAl, relaxed, DFT PBE; values from VASP
&SYSTEM
  ibrav = 0, nat = 4, ntyp = 4
/
ATOMIC_SPECIES
Na 22.99 Na.upf
Lu 174.97 Lu.upf
Tb 158.93 Tb.upf
Al 26.98 Al.upf
CELL_PARAMETERS angstrom
5.245 0.000 0.000
2.622 4.542 0.000
2.622 1.514 4.282
ATOMIC_POSITIONS crystal
Na 0.250 0.250 0.250
Lu 0.000 0.000 0.000
Tb 0.500 0.500 0.500
Al 0.750 0.750 0.750
! * final energy: -3.571 eV/atom
! * Fermi-level density of states: 0.9308 states/eV/atom
! * M_tot: 0.0 μB per formula unit
! * energy of formation: -0.018 eV/atom


! NaLuAlTl, relaxed, DFT PBE; values from VASP
&SYSTEM
  ibrav = 0, nat = 4, ntyp = 4
/
ATOMIC_SPECIES
Na 22.99 Na.upf
Tl 204.38 Tl.upf
Lu 174.97 Lu.upf
Al 26.98 Al.upf
CELL_PARAMETERS angstrom
5.163 0.000 0.000
2.582 4.472 0.000
2.582 1.491 4.216
ATOMIC_POSITIONS crystal
Na 0.750 0.750 0.750
Tl 0.000 0.000 0.000
Lu 0.250 0.250 0.250
Al 0.500 0.500 0.500
! * final energy: -3.063 eV/atom
! * Fermi-level density of states: 0.4174 states/eV/atom
! * M_tot: 0.0 μB per formula unit
! * energy of formation: -0.076 eV/atom


! NaYLuAl, relaxed, DFT PBE; values from VASP
&SYSTEM
  ibrav = 0, nat = 4, ntyp = 4
/
ATOMIC_SPECIES
Y 88.91 Y.upf
Na 22.99 Na.upf
Lu 174.97 Lu.upf
Al 26.98 Al.upf
CELL_PARAMETERS angstrom
5.242 0.000 0.000
2.621 4.540 0.000
2.621 1.513 4.280
ATOMIC_POSITIONS crystal
Y 0.750 0.750 0.750
Na 0.500 0.500 0.500
Lu 0.250 0.250 0.250
Al 0.000 0.000 0.000
! * final energy: -4.042 eV/atom
! * Fermi-level density of states: 0.9049 states/eV/atom
! * M_tot: 0.0 μB per formula unit
! * energy of formation: -0.030 eV/atom


! LuNbAl2, relaxed, DFT PBE; values from VASP
&SYSTEM
  ibrav = 0, nat = 4, ntyp = 3
/
ATOMIC_SPECIES
Nb 92.91 Nb.upf
Lu 174.97 Lu.upf
Al 26.98 Al.upf
CELL_PARAMETERS angstrom
-0.123 1.382 -2.746
1.684 -1.075 -2.340
-6.808 -5.718 -4.296
ATOMIC_POSITIONS crystal
Nb 0.000 0.000 0.000
Lu 0.500 0.500 0.500
Al 0.744 0.744 0.769
Al 0.256 0.256 0.231
! * relative energy among the computed polymorphs: 224 meV/atom
! * final energy: -5.561 eV/atom
! * Fermi-level density of states: 0.8468 states/eV/atom
! * M_tot: 0.0 μB per formula unit
! * energy of formation: -0.042 eV/atom


! LuNbAl2, relaxed, DFT PBE; values from VASP
&SYSTEM
  ibrav = 0, nat = 4, ntyp = 3
/
ATOMIC_SPECIES
Nb 92.91 Nb.upf
Lu 174.97 Lu.upf
Al 26.98 Al.upf
CELL_PARAMETERS angstrom
4.109 0.000 0.000
0.000 4.299 0.000
0.000 0.000 4.299
ATOMIC_POSITIONS crystal
Nb 0.500 0.500 0.500
Lu 0.500 0.000 0.000
Al 0.000 0.000 0.500
Al 0.000 0.500 0.000
! * relative energy among the computed polymorphs: 60 meV/atom
! * final energy: -5.725 eV/atom
! * Fermi-level density of states: 0.7205 states/eV/atom
! * M_tot: 0.0 μB per formula unit
! * energy of formation: -0.206 eV/atom